The following is a PBE-GGA calculation of crystalline ZrPaB2 at its relaxed geometry, from Alexandria via LeMat-Bulk.

The structure belongs to space group R-3m (No. 166, hexagonal axes); the cell edges are 3.5730, 3.5730 and 17.7584 Å and the angles 90.00°, 90.00° and 120.00°. The distinct sites, in fractional coordinates, are Zr at (0.0000, 0.0000, 0.0000), Pa at (0.0000, 0.0000, 0.5000) and B at (0.0000, 0.0000, 0.2540).

As for the raw total energy: -95.960 eV per cell. Its volume is 16.36 Å³ per atom. Its spin magnetization is 0.00 μB/f.u. As for the formation energy: -147 meV/atom.